## SrLuPdRh (PBE-GGA)

Data for a geometry-optimized SrLuPdRh structure.

Results
Total magnetic moment: 0.0 μB per formula unit
N(E_F): 0.394 states/eV per atom
Space-group type: No. 216

Cell lengths 4.9731, 4.9731, 4.9731 Å; angles 60.00, 60.00, 60.00 degrees
Fractional coordinates of all 4 atoms:
Sr: 0.0000 0.0000 0.0000
Lu: 0.5000 0.5000 0.5000
Pd: 0.2500 0.2500 0.2500
Rh: 0.7500 0.7500 0.7500

***

## TbLuPdRh (PBE-GGA)

Data for a geometry-optimized TbLuPdRh structure.

Results
Total magnetic moment: 0.0 μB per formula unit
N(E_F): 0.406 states/eV per atom
Space-group type: No. 216

Cell lengths 4.8627, 4.8627, 4.8627 Å; angles 60.00, 60.00, 60.00 degrees
Fractional coordinates of all 4 atoms:
Tb: 0.0000 0.0000 0.0000
Lu: 0.5000 0.5000 0.5000
Pd: 0.2500 0.2500 0.2500
Rh: 0.7500 0.7500 0.7500

***

## LuThPdRh (PBE-GGA)

Data for a geometry-optimized LuThPdRh structure.

Results
Total magnetic moment: 0.0 μB per formula unit
N(E_F): 1.077 states/eV per atom
Space-group type: No. 216

Cell lengths 4.9780, 4.9780, 4.9780 Å; angles 60.00, 60.00, 60.00 degrees
Fractional coordinates of all 4 atoms:
Lu: 0.0000 0.0000 0.0000
Th: 0.5000 0.5000 0.5000
Pd: 0.7500 0.7500 0.7500
Rh: 0.2500 0.2500 0.2500

***

## LuTiPdRh (PBE-GGA)

Data for a geometry-optimized LuTiPdRh structure.

Results
Total magnetic moment: 0.0 μB per formula unit
N(E_F): 1.381 states/eV per atom
Space-group type: No. 216

Cell lengths 4.6249, 4.6249, 4.6249 Å; angles 60.00, 60.00, 60.00 degrees
Fractional coordinates of all 4 atoms:
Lu: 0.0000 0.0000 0.0000
Ti: 0.5000 0.5000 0.5000
Pd: 0.2500 0.2500 0.2500
Rh: 0.7500 0.7500 0.7500

***

## LuTlPdRh (PBE-GGA)

Data for a geometry-optimized LuTlPdRh structure.

Results
Total magnetic moment: 0.0 μB per formula unit
N(E_F): 0.671 states/eV per atom
Space-group type: No. 216

Cell lengths 4.7340, 4.7340, 4.7340 Å; angles 60.00, 60.00, 60.00 degrees
Fractional coordinates of all 4 atoms:
Lu: 0.0000 0.0000 0.0000
Tl: 0.5000 0.5000 0.5000
Pd: 0.2500 0.2500 0.2500
Rh: 0.7500 0.7500 0.7500

***

## TmLuPdRh (PBE-GGA)

Data for a geometry-optimized TmLuPdRh structure.

Results
Total magnetic moment: 0.0 μB per formula unit
N(E_F): 0.392 states/eV per atom
Space-group type: No. 216

Cell lengths 4.8157, 4.8157, 4.8157 Å; angles 60.00, 60.00, 60.00 degrees
Fractional coordinates of all 4 atoms:
Tm: 0.0000 0.0000 0.0000
Lu: 0.5000 0.5000 0.5000
Pd: 0.2500 0.2500 0.2500
Rh: 0.7500 0.7500 0.7500

***

Record order is preserved below.
Calculated volume: 87.0, 81.3, 87.2, 69.9, 75.0, 79.0 Å³/f.u.
Record order is preserved below.
Formation energy from the elements: -2.236, -3.669, -3.249, -2.847, -2.417, -3.884 eV/f.u.